! K2CaAs | Alexandria | GGA-PBE | optimized geometry; values from VASP
! - DFT total energy: -2.354 eV per atom
! - DFT formation energy: -0.14 eV/atom
! - D(E_F): 3.35 states/eV/cell
&SYSTEM
  ibrav = 0, nat = 4, ntyp = 3
/
ATOMIC_SPECIES
As 74.92 As.upf
Ca 40.08 Ca.upf
K 39.10 K.upf
CELL_PARAMETERS angstrom
5.748 0.000 0.000
-0.036 5.748 0.000
-2.856 -2.874 4.077
ATOMIC_POSITIONS angstrom
As 2.856 2.874 0.000
Ca 2.874 0.000 2.039
K 0.000 0.000 0.000
K -0.018 2.874 2.039